(1)
Material: BaCdAs2
Method: DFT, SCAN
State: single point on PBEsol structure

POSCAR file:
```
BaCdAs2
1.0
3.772 0.000 0.000
0.000 3.772 0.000
0.000 0.000 7.320
Ba Cd As
1 1 2
direct
0.000 0.000 0.000 Ba
0.500 0.500 0.319 Cd
0.000 0.000 0.571 As
0.500 0.500 0.688 As
```

## Properties
ΔH_f (0 K) (eV/atom): -0.32

---

(2)
Material: BaCd2As
Method: DFT, SCAN
State: single point on PBEsol structure

POSCAR file:
```
BaCd2As
1.0
-2.324 2.324 4.973
2.324 -2.324 4.973
2.324 2.324 -4.973
Ba Cd As
1 2 1
direct
0.000 0.000 0.000 Ba
0.250 0.750 0.500 Cd
0.750 0.250 0.500 Cd
0.500 0.500 0.000 As
```

## Properties
ΔH_f (0 K) (eV/atom): -0.32

---

(3)
Material: BaCdAs2
Method: DFT, SCAN
State: single point on PBEsol structure

POSCAR file:
```
BaCdAs2
1.0
3.373 0.000 0.000
0.000 4.697 0.000
0.000 0.000 6.692
Ba Cd As
1 1 2
direct
0.000 0.000 0.000 Ba
0.500 0.500 0.398 Cd
0.000 0.000 0.487 As
0.500 0.500 0.803 As
```

## Properties
ΔH_f (0 K) (eV/atom): -0.16

---

(4)
Material: Ba2CdAs
Method: DFT, SCAN
State: single point on PBEsol structure

POSCAR file:
```
Ba2CdAs
1.0
0.000 3.964 3.964
3.964 0.000 3.964
3.964 3.964 0.000
Ba Cd As
2 1 1
direct
0.000 0.000 0.000 Ba
0.250 0.250 0.250 Ba
0.750 0.750 0.750 Cd
0.500 0.500 0.500 As
```

## Properties
ΔH_f (0 K) (eV/atom): -0.26

---

(5)
Material: BaCd2As2
Method: DFT, SCAN
State: single point on PBEsol structure

POSCAR file:
```
BaCd2As2
1.0
4.505 0.000 0.000
-2.252 3.901 0.000
0.000 0.000 7.626
Ba Cd As
1 2 2
direct
0.000 0.000 0.000 Ba
0.333 0.667 0.630 Cd
0.667 0.333 0.370 Cd
0.333 0.667 0.262 As
0.667 0.333 0.738 As
```

## Properties
ΔH_f (0 K) (eV/atom): -0.74

---

(6)
Material: Ba4Li2Cd3As6
Method: DFT, SCAN
State: single point on PBEsol structure

POSCAR file:
```
Ba4Li2Cd3As6
1.0
2.292 -10.122 0.000
2.292 10.122 0.000
0.000 0.000 17.035
Ba Li Cd As
8 4 6 12
direct
0.017 0.983 0.622 Ba
0.017 0.983 0.878 Ba
0.173 0.827 0.070 Ba
0.173 0.827 0.430 Ba
0.827 0.173 0.570 Ba
0.827 0.173 0.930 Ba
0.983 0.017 0.122 Ba
0.983 0.017 0.378 Ba
0.150 0.850 0.750 Li
0.436 0.564 0.750 Li
0.564 0.436 0.250 Li
0.850 0.150 0.250 Li
0.296 0.704 0.750 Cd
0.351 0.649 0.122 Cd
0.351 0.649 0.378 Cd
0.649 0.351 0.622 Cd
0.649 0.351 0.878 Cd
0.704 0.296 0.250 Cd
0.120 0.880 0.250 As
0.219 0.781 0.617 As
0.219 0.781 0.883 As
0.432 0.568 0.250 As
0.439 0.561 0.514 As
0.439 0.561 0.986 As
0.561 0.439 0.014 As
0.561 0.439 0.486 As
0.568 0.432 0.750 As
0.781 0.219 0.117 As
0.781 0.219 0.383 As
0.880 0.120 0.750 As
```

## Properties
ΔH_f (0 K) (eV/atom): -0.96

---

(7)
Material: Ba2As2Cl
Method: DFT, SCAN
State: single point on PBEsol structure

POSCAR file:
```
Ba2As2Cl
1.0
8.623 0.000 0.000
0.000 8.623 0.000
0.000 0.000 4.321
Ba As Cl
4 4 2
direct
0.190 0.310 0.000 Ba
0.310 0.810 0.000 Ba
0.690 0.190 0.000 Ba
0.810 0.690 0.000 Ba
0.097 0.597 0.500 As
0.403 0.097 0.500 As
0.597 0.903 0.500 As
0.903 0.403 0.500 As
0.000 0.000 0.000 Cl
0.500 0.500 0.000 Cl
```

## Properties
Raw total energy (eV/atom): -27.031

---

(8)
Material: Ba2AsCl
Method: DFT, SCAN
State: single point on PBEsol structure

POSCAR file:
```
Ba2AsCl
1.0
-2.101 2.157 7.750
2.101 -2.157 7.750
2.101 2.157 -7.750
Ba As Cl
2 1 1
direct
0.000 0.000 0.000 Ba
0.732 0.232 0.500 Ba
0.149 0.649 0.500 As
0.407 0.407 0.000 Cl
```

## Properties
Raw total energy (eV/atom): -28.522

---

(9)
Material: Ba2AsCl
Method: DFT, SCAN
State: single point on PBEsol structure

POSCAR file:
```
Ba2AsCl
1.0
6.426 0.000 0.000
0.000 3.286 3.287
0.000 -3.286 3.287
Ba As Cl
2 1 1
direct
0.000 0.000 0.000 Ba
0.500 0.499 0.499 Ba
0.500 0.998 0.998 As
0.000 0.500 0.500 Cl
```

## Properties
Raw total energy (eV/atom): -28.659

---

(10)
Material: BaAsCl2
Method: DFT, SCAN
State: single point on PBEsol structure

POSCAR file:
```
BaAsCl2
1.0
-1.981 2.192 6.052
1.981 -2.192 6.052
1.981 2.192 -6.052
Ba As Cl
1 1 2
direct
0.000 0.000 0.000 Ba
0.726 0.226 0.500 As
0.210 0.710 0.500 Cl
0.458 0.458 0.000 Cl
```

## Properties
Raw total energy (eV/atom): -20.170

---

(11)
Material: Ba2GaAsCl
Method: DFT, SCAN
State: single point on PBEsol structure

POSCAR file:
```
Ba2GaAsCl
1.0
5.837 0.000 0.000
0.000 5.837 0.000
0.000 0.000 4.991
Ba Ga As Cl
2 1 1 1
direct
0.000 0.500 0.000 Ba
0.500 0.000 0.000 Ba
0.000 0.000 0.500 Ga
0.500 0.500 0.500 As
0.000 0.000 0.000 Cl
```

## Properties
Raw total energy (eV/atom): -25.496

---

(12)
Material: Ba3Sr2As3ClO12
Method: DFT, SCAN
State: single point on PBEsol structure

POSCAR file:
```
Ba3Sr2As3ClO12
1.0
10.386 0.000 0.000
-5.193 8.995 0.000
0.000 0.000 7.578
Ba Sr As Cl O
6 4 6 2 24
direct
0.010 0.754 0.250 Ba
0.246 0.255 0.250 Ba
0.255 0.010 0.750 Ba
0.745 0.990 0.250 Ba
0.754 0.745 0.750 Ba
0.990 0.246 0.750 Ba
0.333 0.667 0.002 Sr
0.333 0.667 0.498 Sr
0.667 0.333 0.502 Sr
0.667 0.333 0.998 Sr
0.037 0.621 0.750 As
0.379 0.416 0.750 As
0.416 0.037 0.250 As
0.584 0.963 0.750 As
0.621 0.584 0.250 As
0.963 0.379 0.250 As
0.000 0.000 0.000 Cl
0.000 0.000 0.500 Cl
0.092 0.734 0.569 O
0.092 0.734 0.931 O
0.141 0.534 0.750 O
0.150 0.504 0.250 O
0.266 0.358 0.569 O
0.266 0.358 0.931 O
0.354 0.850 0.250 O
0.358 0.092 0.069 O
0.358 0.092 0.431 O
0.393 0.859 0.750 O
0.466 0.607 0.750 O
0.496 0.646 0.250 O
0.504 0.354 0.750 O
0.534 0.393 0.250 O
0.607 0.141 0.250 O
0.642 0.908 0.569 O
0.642 0.908 0.931 O
0.646 0.150 0.750 O
0.734 0.642 0.069 O
0.734 0.642 0.431 O
0.850 0.496 0.750 O
0.859 0.466 0.250 O
0.908 0.266 0.069 O
0.908 0.266 0.431 O
```

## Properties
Raw total energy (eV/atom): -17.153